DFT (PBE-GGA) results for a geometry-optimized Na2LiSe2 structure.

Results
- Space-group type: I4/mmm, No. 139
- Crystal system: tetragonal
- Raw total energy: -14.61 eV per formula unit
- ΔE_f (raw): -619 meV/atom

a = 4.4814 Å, b = 4.4814 Å, c = 7.1739 Å
α = 71.80°, β = 71.80°, γ = 90.00°
Each line ends with the local moment (μB).
Sites, in units of the cell vectors:
Na (0.2500, 0.7500, 0.5000)  0.01
Se (0.6109, 0.6109, 0.7783)  0.21
Li (0.0000, 0.0000, 0.0000)  0.00
Na (0.7500, 0.2500, 0.5000)  0.01
Se (0.3891, 0.3891, 0.2217)  0.21